The following is a PBE with a Hubbard U calculation of crystalline HfVCr2O6 at its relaxed geometry, from the Alexandria database.

Cell lengths 5.333, 5.201, 5.729 Å; angles 61.97, 60.26, 60.05 degrees
Site moments in Bohr magnetons follow the coordinates.
Positions (direct):
Hf: 0.821 0.813 0.551  0.04
V: 0.317 0.310 0.058  1.94
O: 0.920 0.606 0.252  -0.03
O: 0.613 0.222 0.251  -0.03
O: 0.233 0.914 0.273  -0.01
O: 0.426 0.705 0.749  -0.04
O: 0.687 0.123 0.744  -0.01
O: 0.114 0.430 0.747  -0.04
Cr: 0.017 0.021 0.936  3.75
Cr: 0.514 0.516 0.454  3.08

Properties
Space-group type = P1, No. 1
Final energy = -8.551 eV/atom